# 1
Crystalline Pr4Te2AuS at its relaxed geometry, computed with GGA-PBE. Values from VASP.

Cell and atoms, written as Quantum ESPRESSO input:
```
&SYSTEM
  ibrav = 0, nat = 8, ntyp = 4
/
ATOMIC_SPECIES
Pr 140.91 Pr.upf
Te 127.60 Te.upf
Au 196.97 Au.upf
S 32.06 S.upf
ATOMIC_POSITIONS crystal
Pr 0.230 0.000 0.223
Pr 0.255 0.500 0.771
Pr 0.745 0.500 0.229
Pr 0.770 0.000 0.777
Te 0.000 0.000 0.500
Te 0.500 0.500 0.500
Au 0.500 0.000 0.000
S 0.000 0.500 0.000
CELL_PARAMETERS angstrom
7.646 0.000 0.000
0.000 4.288 0.000
-2.476 0.000 7.315
```

DFT total energy   -44.0 eV per cell
Raw formation energy   -1.40 eV/atom

***

# 2
Crystalline PrSb2Au3 at its relaxed geometry, computed with GGA-PBE. Values from VASP.

Cell and atoms, written as Quantum ESPRESSO input:
```
&SYSTEM
  ibrav = 0, nat = 12, ntyp = 3
/
ATOMIC_SPECIES
Pr 140.91 Pr.upf
Sb 121.76 Sb.upf
Au 196.97 Au.upf
ATOMIC_POSITIONS crystal
Pr 0.111 0.111 0.169
Pr 0.889 0.889 0.831
Sb 0.231 0.231 0.710
Sb 0.461 0.461 0.177
Sb 0.539 0.539 0.823
Sb 0.769 0.769 0.290
Au 0.066 0.066 0.616
Au 0.299 0.299 0.074
Au 0.366 0.366 0.542
Au 0.634 0.634 0.458
Au 0.701 0.701 0.926
Au 0.934 0.934 0.384
CELL_PARAMETERS angstrom
8.518 -2.279 0.000
8.518 2.279 0.000
-0.507 0.000 7.507
```

DFT total energy   -51.0 eV per cell
Raw formation energy   -0.44 eV/atom

***

# 3
Crystalline Pr8Sb2Au at its relaxed geometry, computed with GGA-PBE. Values from VASP.

Cell and atoms, written as Quantum ESPRESSO input:
```
&SYSTEM
  ibrav = 0, nat = 11, ntyp = 3
/
ATOMIC_SPECIES
Pr 140.91 Pr.upf
Sb 121.76 Sb.upf
Au 196.97 Au.upf
ATOMIC_POSITIONS crystal
Pr 0.011 0.011 0.271
Pr 0.215 0.215 0.849
Pr 0.342 0.342 0.476
Pr 0.405 0.405 0.001
Pr 0.595 0.595 0.999
Pr 0.658 0.658 0.524
Pr 0.785 0.785 0.151
Pr 0.989 0.989 0.729
Sb 0.182 0.182 0.263
Sb 0.818 0.818 0.737
Au 0.500 0.500 0.500
CELL_PARAMETERS angstrom
9.810 -2.453 0.000
9.810 2.453 0.000
-1.226 0.000 7.493
```

DFT total energy   -55.3 eV per cell
Raw formation energy   -0.51 eV/atom

***

# 4
Crystalline Pr2SbAu at its relaxed geometry, computed with GGA-PBE. Values from VASP.

Cell and atoms, written as Quantum ESPRESSO input:
```
&SYSTEM
  ibrav = 0, nat = 8, ntyp = 3
/
ATOMIC_SPECIES
Pr 140.91 Pr.upf
Sb 121.76 Sb.upf
Au 196.97 Au.upf
ATOMIC_POSITIONS crystal
Pr 0.061 0.939 0.750
Pr 0.318 0.682 0.750
Pr 0.682 0.318 0.250
Pr 0.939 0.061 0.250
Sb 0.188 0.812 0.750
Sb 0.812 0.188 0.250
Au 0.460 0.540 0.750
Au 0.540 0.460 0.250
CELL_PARAMETERS angstrom
2.129 -12.278 0.000
2.129 12.278 0.000
0.000 0.000 4.684
```

DFT total energy   -41.2 eV per cell
Raw formation energy   -0.91 eV/atom

***

# 5
Crystalline Pr2SbAu at its relaxed geometry, computed with GGA-PBE. Values from VASP.

Cell and atoms, written as Quantum ESPRESSO input:
```
&SYSTEM
  ibrav = 0, nat = 4, ntyp = 3
/
ATOMIC_SPECIES
Pr 140.91 Pr.upf
Sb 121.76 Sb.upf
Au 196.97 Au.upf
ATOMIC_POSITIONS crystal
Pr 0.248 0.248 0.248
Pr 0.752 0.752 0.752
Sb 0.000 0.000 0.000
Au 0.500 0.500 0.500
CELL_PARAMETERS angstrom
2.214 1.278 7.469
-2.214 1.278 7.469
0.000 -2.556 7.469
```

DFT total energy   -20.4 eV per cell
Raw formation energy   -0.85 eV/atom

***

# 6
Crystalline Pr2SbAu at its relaxed geometry, computed with GGA-PBE. Values from VASP.

Cell and atoms, written as Quantum ESPRESSO input:
```
&SYSTEM
  ibrav = 0, nat = 4, ntyp = 3
/
ATOMIC_SPECIES
Pr 140.91 Pr.upf
Sb 121.76 Sb.upf
Au 196.97 Au.upf
ATOMIC_POSITIONS crystal
Pr 0.000 0.500 0.000
Pr 0.500 0.000 0.000
Sb 0.000 0.000 0.500
Au 0.500 0.500 0.500
CELL_PARAMETERS angstrom
5.287 0.000 0.000
0.000 5.287 0.000
0.000 0.000 4.023
```

DFT total energy   -20.3 eV per cell
Raw formation energy   -0.84 eV/atom

***

# 7
Crystalline PrSbAu3 at its relaxed geometry, computed with GGA-PBE. Values from VASP.

Cell and atoms, written as Quantum ESPRESSO input:
```
&SYSTEM
  ibrav = 0, nat = 20, ntyp = 3
/
ATOMIC_SPECIES
Pr 140.91 Pr.upf
Sb 121.76 Sb.upf
Au 196.97 Au.upf
ATOMIC_POSITIONS crystal
Pr 0.198 0.034 0.254
Pr 0.198 0.466 0.754
Pr 0.802 0.534 0.246
Pr 0.802 0.966 0.746
Sb 0.399 0.742 0.543
Sb 0.399 0.758 0.043
Sb 0.601 0.242 0.957
Sb 0.601 0.258 0.457
Au 0.026 0.686 0.022
Au 0.026 0.814 0.522
Au 0.212 0.075 0.890
Au 0.212 0.425 0.390
Au 0.375 0.112 0.644
Au 0.375 0.388 0.144
Au 0.625 0.612 0.856
Au 0.625 0.888 0.356
Au 0.788 0.575 0.610
Au 0.788 0.925 0.110
Au 0.974 0.186 0.478
Au 0.974 0.314 0.978
CELL_PARAMETERS angstrom
7.664 0.000 0.000
0.000 7.572 0.000
-3.297 0.000 8.115
```

DFT total energy   -85.3 eV per cell
Raw formation energy   -0.52 eV/atom

***

# 8
Crystalline PrSbAu3 at its relaxed geometry, computed with GGA-PBE. Values from VASP.

Cell and atoms, written as Quantum ESPRESSO input:
```
&SYSTEM
  ibrav = 0, nat = 10, ntyp = 3
/
ATOMIC_SPECIES
Pr 140.91 Pr.upf
Sb 121.76 Sb.upf
Au 196.97 Au.upf
ATOMIC_POSITIONS crystal
Pr 0.000 0.203 0.000
Pr 0.500 0.797 0.500
Sb 0.000 0.660 0.281
Sb 0.500 0.340 0.781
Au 0.000 0.956 0.618
Au 0.246 0.708 0.915
Au 0.254 0.292 0.415
Au 0.500 0.044 0.118
Au 0.746 0.292 0.415
Au 0.754 0.708 0.915
CELL_PARAMETERS angstrom
5.683 0.000 0.000
0.000 6.163 0.000
0.000 0.000 6.908
```

DFT total energy   -42.5 eV per cell
Raw formation energy   -0.50 eV/atom

***

# 9
Crystalline Pr5Sb2Au at its relaxed geometry, computed with GGA-PBE. Values from VASP.

Cell and atoms, written as Quantum ESPRESSO input:
```
&SYSTEM
  ibrav = 0, nat = 16, ntyp = 3
/
ATOMIC_SPECIES
Pr 140.91 Pr.upf
Sb 121.76 Sb.upf
Au 196.97 Au.upf
ATOMIC_POSITIONS crystal
Pr 0.082 0.918 0.592
Pr 0.082 0.918 0.908
Pr 0.228 0.772 0.250
Pr 0.411 0.589 0.602
Pr 0.411 0.589 0.898
Pr 0.589 0.411 0.102
Pr 0.589 0.411 0.398
Pr 0.772 0.228 0.750
Pr 0.918 0.082 0.092
Pr 0.918 0.082 0.408
Sb 0.258 0.742 0.068
Sb 0.258 0.742 0.432
Sb 0.742 0.258 0.568
Sb 0.742 0.258 0.932
Au 0.204 0.796 0.750
Au 0.796 0.204 0.250
CELL_PARAMETERS angstrom
2.969 -4.922 0.000
2.969 4.922 0.000
0.000 0.000 17.353
```

DFT total energy   -80.3 eV per cell
Raw formation energy   -0.59 eV/atom

***

# 10
Crystalline Pr2Sb4Au at its relaxed geometry, computed with GGA-PBE. Values from VASP.

Cell and atoms, written as Quantum ESPRESSO input:
```
&SYSTEM
  ibrav = 0, nat = 7, ntyp = 3
/
ATOMIC_SPECIES
Pr 140.91 Pr.upf
Sb 121.76 Sb.upf
Au 196.97 Au.upf
ATOMIC_POSITIONS crystal
Pr 0.000 0.500 0.243
Pr 0.500 0.000 0.757
Sb 0.000 0.000 0.500
Sb 0.000 0.500 0.842
Sb 0.500 0.000 0.158
Sb 0.500 0.500 0.500
Au 0.500 0.500 0.000
CELL_PARAMETERS angstrom
4.506 0.000 0.000
0.000 4.506 0.000
0.000 0.000 9.884
```

DFT total energy   -34.7 eV per cell
Raw formation energy   -0.76 eV/atom

***

# 11
Crystalline PrSb2Au at its relaxed geometry, computed with GGA-PBE. Values from VASP.

Cell and atoms, written as Quantum ESPRESSO input:
```
&SYSTEM
  ibrav = 0, nat = 8, ntyp = 3
/
ATOMIC_SPECIES
Pr 140.91 Pr.upf
Sb 121.76 Sb.upf
Au 196.97 Au.upf
ATOMIC_POSITIONS crystal
Pr 0.250 0.250 0.246
Pr 0.750 0.750 0.754
Sb 0.250 0.250 0.677
Sb 0.250 0.750 0.000
Sb 0.750 0.250 0.000
Sb 0.750 0.750 0.323
Au 0.250 0.750 0.500
Au 0.750 0.250 0.500
CELL_PARAMETERS angstrom
4.481 0.000 0.000
0.000 4.481 0.000
0.000 0.000 10.356
```

DFT total energy   -38.3 eV per cell
Raw formation energy   -0.72 eV/atom

***

# 12
Crystalline Pr5SbAu2 at its relaxed geometry, computed with GGA-PBE. Values from VASP.

Cell and atoms, written as Quantum ESPRESSO input:
```
&SYSTEM
  ibrav = 0, nat = 16, ntyp = 3
/
ATOMIC_SPECIES
Pr 140.91 Pr.upf
Sb 121.76 Sb.upf
Au 196.97 Au.upf
ATOMIC_POSITIONS crystal
Pr 0.000 0.000 0.000
Pr 0.012 0.512 0.812
Pr 0.200 0.012 0.500
Pr 0.300 0.800 0.812
Pr 0.488 0.300 0.500
Pr 0.500 0.500 0.000
Pr 0.512 0.700 0.500
Pr 0.700 0.200 0.188
Pr 0.800 0.988 0.500
Pr 0.988 0.488 0.188
Sb 0.250 0.250 0.000
Sb 0.750 0.750 0.000
Au 0.135 0.365 0.500
Au 0.365 0.865 0.229
Au 0.635 0.135 0.771
Au 0.865 0.635 0.500
CELL_PARAMETERS angstrom
-4.220 4.220 6.750
4.220 -4.220 6.750
4.220 4.220 -6.750
```

DFT total energy   -80.2 eV per cell
Raw formation energy   -0.69 eV/atom